(1)
# Tb3Co

A relaxed structure of Tb3Co (GGA-PBE, Alexandria).

a = 6.308 Å, b = 11.387 Å, c = 11.387 Å
α = 90.00°, β = 90.00°, γ = 90.00°
Fractional coordinates of all 32 atoms:
Tb 0.442 0.216 0.657
Tb 0.440 0.918 0.639
Tb 0.225 0.371 0.437
Co 0.253 0.927 0.189
Tb 0.058 0.716 0.157
Tb 0.442 0.784 0.343
Co 0.247 0.573 0.311
Tb 0.440 0.082 0.361
Tb 0.942 0.843 0.716
Tb 0.275 0.871 0.937
Tb 0.940 0.139 0.582
Tb 0.725 0.063 0.871
Co 0.253 0.073 0.811
Tb 0.558 0.343 0.216
Co 0.753 0.311 0.427
Tb 0.560 0.639 0.082
Tb 0.775 0.563 0.371
Tb 0.942 0.157 0.284
Co 0.747 0.811 0.927
Co 0.753 0.689 0.573
Tb 0.275 0.129 0.063
Tb 0.725 0.937 0.129
Tb 0.060 0.418 0.139
Tb 0.775 0.437 0.629
Tb 0.058 0.284 0.843
Tb 0.060 0.582 0.861
Tb 0.560 0.361 0.918
Tb 0.558 0.657 0.784
Tb 0.225 0.629 0.563
Tb 0.940 0.861 0.418
Co 0.247 0.427 0.689
Co 0.747 0.189 0.073

Output
M_tot = 0.00 Bohr magnetons per cell
VASP energy = -0.195 hartree per atom
formation energy from the elements = -0.07 eV per atom

=====

(2)
# TbCo5

A relaxed structure of TbCo5 (GGA-PBE, Alexandria).

a = 3.766 Å, b = 3.762 Å, c = 5.966 Å
α = 90.00°, β = 108.38°, γ = 90.00°
Fractional coordinates of all 6 atoms:
Co 0.814 0.500 0.628
Co 0.500 0.500 0.000
Co 0.686 0.000 0.373
Co 0.314 0.000 0.627
Tb 0.000 0.000 0.000
Co 0.186 0.500 0.372

Output
M_tot = 6.30 Bohr magnetons per cell
VASP energy = -0.242 hartree per atom
formation energy from the elements = 0.10 eV per atom

=====

(3)
# Tb3Co

A relaxed structure of Tb3Co (GGA-PBE, Alexandria).

a = 6.240 Å, b = 6.957 Å, c = 9.514 Å
α = 90.00°, β = 90.00°, γ = 90.00°
Fractional coordinates of all 16 atoms:
Co 0.052 0.886 0.250
Tb 0.824 0.826 0.568
Tb 0.176 0.174 0.432
Co 0.552 0.614 0.750
Co 0.948 0.114 0.750
Tb 0.644 0.043 0.250
Tb 0.676 0.326 0.568
Tb 0.676 0.326 0.932
Tb 0.324 0.674 0.068
Tb 0.824 0.826 0.932
Tb 0.176 0.174 0.068
Co 0.448 0.386 0.250
Tb 0.324 0.674 0.432
Tb 0.144 0.457 0.750
Tb 0.356 0.957 0.750
Tb 0.856 0.543 0.250

Output
M_tot = 0.00 Bohr magnetons per cell
VASP energy = -0.198 hartree per atom
formation energy from the elements = -0.15 eV per atom

=====

(4)
# Tb3Co4

A relaxed structure of Tb3Co4 (GGA-PBE, Alexandria).

a = 3.891 Å, b = 4.087 Å, c = 8.841 Å
α = 103.36°, β = 102.71°, γ = 90.00°
Fractional coordinates of all 7 atoms:
Co 0.932 0.432 0.865
Co 0.068 0.568 0.135
Tb 0.814 0.814 0.628
Tb 0.500 0.000 0.000
Co 0.366 0.366 0.733
Tb 0.186 0.186 0.372
Co 0.634 0.634 0.267

Output
M_tot = 2.21 Bohr magnetons per cell
VASP energy = -0.229 hartree per atom
formation energy from the elements = -0.19 eV per atom

=====

(5)
# Tb5Co3

A relaxed structure of Tb5Co3 (GGA-PBE, Alexandria).

a = 7.094 Å, b = 7.094 Å, c = 14.257 Å
α = 90.00°, β = 90.00°, γ = 90.00°
Fractional coordinates of all 32 atoms:
Co 0.612 0.388 0.250
Co 0.112 0.888 0.750
Co 0.888 0.112 0.750
Tb 0.322 0.322 0.393
Tb 0.322 0.322 0.107
Co 0.612 0.612 0.750
Tb 0.000 0.500 0.750
Tb 0.178 0.822 0.107
Tb 0.178 0.178 0.607
Co 0.500 0.000 0.500
Tb 0.822 0.178 0.393
Tb 0.178 0.178 0.893
Tb 0.178 0.822 0.393
Co 0.112 0.112 0.250
Co 0.000 0.500 0.000
Tb 0.822 0.822 0.893
Tb 0.000 0.500 0.250
Tb 0.678 0.322 0.607
Tb 0.678 0.678 0.393
Tb 0.500 0.000 0.250
Co 0.888 0.888 0.250
Co 0.500 0.000 0.000
Tb 0.678 0.322 0.893
Tb 0.322 0.678 0.893
Tb 0.500 0.000 0.750
Tb 0.322 0.678 0.607
Tb 0.822 0.178 0.107
Co 0.000 0.500 0.500
Tb 0.822 0.822 0.607
Co 0.388 0.612 0.250
Co 0.388 0.388 0.750
Tb 0.678 0.678 0.107

Output
M_tot = 0.00 Bohr magnetons per cell
VASP energy = -0.210 hartree per atom
formation energy from the elements = -0.14 eV per atom

=====

(6)
# Tb3Co

A relaxed structure of Tb3Co (GGA-PBE, Alexandria).

a = 3.542 Å, b = 3.393 Å, c = 9.063 Å
α = 90.00°, β = 90.00°, γ = 90.00°
Fractional coordinates of all 4 atoms:
Tb 0.500 0.000 0.761
Tb 0.000 0.500 0.468
Co 0.000 0.000 0.981
Tb 0.500 0.500 0.123

Output
M_tot = 0.01 Bohr magnetons per cell
VASP energy = -0.187 hartree per atom
formation energy from the elements = 0.15 eV per atom